The following is a DFT calculation (PBEsol) of an optimized crystal structure of KScRu2.

The structure in POSCAR format:
```
KScRu2
1.0
2.783 -0.008 -0.013
-1.063 5.338 -0.102
-1.063 -2.648 4.636
K Sc Ru
1 1 2
direct
0.500 0.500 0.500
0.500 0.000 0.000
0.000 0.500 0.000
0.000 0.000 0.500
```

Uncorrected energy ... -24.27 eV/f.u.

***

The following is a DFT calculation (PBEsol) of an optimized crystal structure of KScRu.

The structure in POSCAR format:
```
KScRu
1.0
3.303 0.000 0.000
0.000 3.303 0.000
-1.651 -1.651 6.890
Ru K Sc
1 1 1
direct
0.698 0.698 0.396
0.024 0.024 0.047
0.278 0.278 0.556
```

Uncorrected energy ... -16.86 eV/f.u.